1.
Density functional theory data (PBE-GGA) for a relaxed structure of DyLuRh2.

Values from the calculation:
VASP energy = -6.896 eV/atom
N(E_F) = 2.39 states/eV per cell
crystal system = cubic
E_form = -0.94 eV/atom

Cell lengths 4.7912, 4.7912, 4.7912 Å; angles 60.00, 60.00, 60.00 degrees
Element x y z (fractional)
Dy 0.0000 0.0000 0.0000
Lu 0.5000 0.5000 0.5000
Rh 0.2500 0.2500 0.2500
Rh 0.7500 0.7500 0.7500

2.
Density functional theory data (PBE-GGA) for a relaxed structure of DyLuRh2.

Values from the calculation:
VASP energy = -6.575 eV/atom
N(E_F) = 0.31 states/eV per cell
crystal system = trigonal
E_form = -0.62 eV/atom

Cell lengths 6.8500, 6.8500, 6.8500 Å; angles 33.27, 33.27, 33.27 degrees
Element x y z (fractional)
Dy 0.0000 0.0000 0.0000
Lu 0.5000 0.5000 0.5000
Rh 0.2469 0.2469 0.2469
Rh 0.7531 0.7531 0.7531

3.
Density functional theory data (PBE-GGA) for a relaxed structure of Dy2LuRh.

Values from the calculation:
VASP energy = -5.656 eV/atom
N(E_F) = 5.34 states/eV per cell
crystal system = tetragonal
E_form = -0.39 eV/atom

Cell lengths 3.4963, 3.4963, 8.4632 Å; angles 90.00, 90.00, 90.00 degrees
Element x y z (fractional)
Dy 0.0000 0.0000 0.1926
Dy 0.0000 0.0000 0.8074
Lu 0.5000 0.5000 0.5000
Rh 0.5000 0.5000 0.0000

4.
Density functional theory data (PBE-GGA) for a relaxed structure of DyLuRh2.

Values from the calculation:
VASP energy = -6.896 eV/atom
N(E_F) = 2.07 states/eV per cell
crystal system = tetragonal
E_form = -0.94 eV/atom

Cell lengths 4.7401, 4.7401, 3.4628 Å; angles 90.00, 90.00, 90.00 degrees
Element x y z (fractional)
Dy 0.0000 0.0000 0.0000
Lu 0.5000 0.5000 0.0000
Rh 0.0000 0.5000 0.5000
Rh 0.5000 0.0000 0.5000

5.
Density functional theory data (PBE-GGA) for a relaxed structure of Dy2LuRh.

Values from the calculation:
VASP energy = -5.566 eV/atom
N(E_F) = 5.35 states/eV per cell
crystal system = trigonal
E_form = -0.30 eV/atom

Cell lengths 9.6255, 9.6255, 9.6255 Å; angles 22.21, 22.21, 22.21 degrees
Element x y z (fractional)
Dy 0.2280 0.2280 0.2280
Dy 0.7720 0.7720 0.7720
Lu 0.0000 0.0000 0.0000
Rh 0.5000 0.5000 0.5000

6.
Density functional theory data (PBE-GGA) for a relaxed structure of DyLuRuRh.

Values from the calculation:
VASP energy = -7.137 eV/atom
N(E_F) = 1.54 states/eV per cell
crystal system = cubic
E_form = -0.70 eV/atom

Cell lengths 4.7732, 4.7732, 4.7732 Å; angles 60.00, 60.00, 60.00 degrees
Element x y z (fractional)
Dy 0.0000 0.0000 0.0000
Lu 0.5000 0.5000 0.5000
Ru 0.7500 0.7500 0.7500
Rh 0.2500 0.2500 0.2500